Computed, not measured: an optimized crystal structure of HgSb2W at the GGA-PBE level of DFT.

As for the space group: Cmm2 (35). The value obtained for the total energy is -19.0 eV per cell. For the energy relative to the elements, uncorrected, the calculation gives 630 meV/atom.

Structure (CIF):
```
data_HgSb2W
_symmetry_space_group_name_H-M 'P 1'
_symmetry_Int_Tables_number 1
_cell_length_a 3.1155
_cell_length_b 3.1155
_cell_length_c 10.5809
_cell_angle_alpha 90.00
_cell_angle_beta 90.00
_cell_angle_gamma 111.10
loop_
_symmetry_equiv_pos_as_xyz
'x,y,z'
loop_
_atom_site_label
_atom_site_fract_x
_atom_site_fract_y
_atom_site_fract_z
Hg1 0.5000 0.5000 0.7238
Sb1 0.0000 0.0000 0.9657
Sb2 0.5000 0.5000 0.3064
W1 0.0000 0.0000 0.5042
```